Entry 1:
First-principles (PBE-GGA) data for a relaxed BaTl4Cd4 crystal, as listed in the Alexandria database.

Computed properties:
energy = -31.54 eV per cell
E_form = -0.72 eV per formula unit
SG = No. 87
density = 8.61 Mg/m³

abc: 5.8641 9.6123 9.6123
angles: 90.00 90.00 90.00
Atoms (fractional coordinates):
Tl1 0.5005 0.1445 0.4232
Tl2 0.0005 0.9232 0.3555
Tl3 0.4995 0.4232 0.8555
Cd1 0.5004 0.8919 0.2105
Cd2 0.0004 0.2895 0.3919
Ba1 0.0000 0.0000 0.0000
Tl4 0.5005 0.8555 0.5768
Tl5 0.9995 0.3555 0.0768
Tl6 0.0005 0.0768 0.6445
Cd3 0.9996 0.6081 0.2895
Cd4 0.4996 0.2105 0.1081
Cd5 0.4996 0.7895 0.8919
Tl7 0.9995 0.6445 0.9232
Ba2 0.5000 0.5000 0.5000
Cd6 0.0004 0.7105 0.6081
Cd7 0.9996 0.3919 0.7105
Cd8 0.5004 0.1081 0.7895
Tl8 0.4995 0.5768 0.1445



Entry 2:
First-principles (PBE-GGA) data for a relaxed KSrLi2 crystal, as listed in the Alexandria database.

Computed properties:
energy = -6.08 eV per cell
E_form = 0.53 eV per formula unit
SG = No. 8
density = 1.44 Mg/m³

abc: 7.2393 7.2393 6.0966
angles: 65.07 65.07 34.56
Atoms (fractional coordinates):
Li1 0.0366 0.0366 0.9648
Sr1 0.4823 0.4823 0.5184
Li2 0.7100 0.7100 0.7886
K1 0.2712 0.2712 0.2282



Entry 3:
First-principles (PBE-GGA) data for a relaxed Mg5Cd5Rh2 crystal, as listed in the Alexandria database.

Computed properties:
energy = -29.79 eV per cell
E_form = -2.54 eV per formula unit
SG = No. 12
density = 6.30 Mg/m³

abc: 4.3988 8.6832 6.9280
angles: 71.36 71.49 75.33
Atoms (fractional coordinates):
Mg1 0.2537 0.6975 0.7951
Cd1 0.6015 0.7220 0.0750
Mg2 0.7463 0.3025 0.2049
Mg3 0.0000 0.0000 0.0000
Rh1 0.8492 0.5049 0.7968
Cd2 0.3309 0.0024 0.3357
Cd3 0.3985 0.2780 0.9250
Cd4 0.5000 0.5000 0.5000
Rh2 0.1508 0.4951 0.2032
Mg4 0.0778 0.2663 0.5780
Mg5 0.9222 0.7337 0.4220
Cd5 0.6691 0.9976 0.6643



Which formula does entry 3 have?
Mg5Cd5Rh2